# LiV3OF11, optimized geometry, DFT PBE with a Hubbard U
data_LiV3OF11
_chemical_formula_sum 'Li2 V6 O2 F22'
_space_group_name_H-M_alt 'P 1'
_space_group_IT_number 1
_space_group_name_Hall 'P 1'
_cell_length_a 5.305
_cell_length_b 5.396
_cell_length_c 16.637
_cell_angle_alpha 98.38
_cell_angle_beta 91.16
_cell_angle_gamma 90.27
loop_
_atom_site_label
_atom_site_fract_x
_atom_site_fract_y
_atom_site_fract_z
Li1 0.000 0.000 0.000
Li2 0.183 0.190 0.616
V1 0.199 0.862 0.183
V2 0.220 0.481 0.477
V3 0.239 0.160 0.824
V4 0.720 0.333 0.179
V5 0.724 0.986 0.488
V6 0.736 0.657 0.821
O1 0.016 0.110 0.201
O2 0.856 0.049 0.581
F1 0.040 0.464 0.806
F2 0.040 0.765 0.455
F3 0.151 0.529 0.585
F4 0.154 0.204 0.934
F5 0.224 0.852 0.072
F6 0.234 0.763 0.279
F7 0.311 0.112 0.714
F8 0.320 0.375 0.377
F9 0.404 0.183 0.512
F10 0.436 0.855 0.842
F11 0.438 0.515 0.152
F12 0.515 0.041 0.196
F13 0.523 0.684 0.503
F14 0.551 0.370 0.849
F15 0.652 0.578 0.718
F16 0.656 0.932 0.378
F17 0.735 0.449 0.282
F18 0.764 0.191 0.073
F19 0.824 0.744 0.929
F20 0.914 0.291 0.457
F21 0.925 0.950 0.800
F22 0.933 0.612 0.155
# Total DFT energy (no corrections) (eV per atom): -5.726
# Fermi-level density of states (states/eV/atom): 0.292